Below is a relaxed NdTcP2Ru crystal, with properties calculated at the PBE-GGA level.

The crystal system is tetragonal. The total energy comes out at -80.188 eV/cell. For the calculated volume, the calculation gives 169.4 Å³ per cell. The density is 7.94 g/cm³. For the formation energy, the calculation gives -0.973 eV/atom. The calculation puts the magnetization at 0.00 μB per cell.

It has space group I-4m2 (No. 119), with a = 4.141 Å, b = 4.141 Å, c = 9.884 Å, α = 90.00°, β = 90.00° and γ = 90.00°. Symmetry generates all atoms from Nd at (0.000, 0.000, 0.000), Tc at (0.000, 0.500, 0.750), P at (0.000, 0.000, 0.364) and Ru at (0.000, 0.500, 0.250).


Below is a relaxed Ta2CrPt crystal, with properties calculated at the PBE-GGA level.

The crystal system is tetragonal. The total energy comes out at -39.651 eV/cell. For the calculated volume, the calculation gives 64.3 Å³ per cell. The density is 15.73 g/cm³. For the formation energy, the calculation gives -0.070 eV/atom. The calculation puts the magnetization at 0.00 μB per cell.

It has space group P4mm (No. 99), with a = 2.756 Å, b = 2.756 Å, c = 8.460 Å, α = 90.00°, β = 90.00° and γ = 90.00°. Symmetry generates all atoms from Ta at (0.000, 0.000, 0.000), Ta at (0.500, 0.500, 0.278), Cr at (0.000, 0.000, 0.532) and Pt at (0.500, 0.500, 0.741).


Among the records above, which one has the highest total energy? Ta2CrPt